A relaxed structure of Li2SbPCO7, computed with PBE-GGA.

abc: 5.3470 7.1129 8.7650
angles: 90.00 101.50 90.00
Last column: nearest neighbours and their distance in Å.
Fractional coordinates of all 24 atoms:
Li  0.2149  0.0000  0.1225  4 O 1.91-2.09
Li  0.2259  0.6422  0.6821  4 O 1.99-2.16
Li  0.7741  0.1422  0.3179  4 O 1.99-2.16
Li  0.7851  0.5000  0.8775  4 O 1.91-2.09
Sb  0.1910  0.5047  0.2921  3 O 2.07-2.15
Sb  0.8090  0.0047  0.7079  3 O 2.07-2.15
P  0.2906  0.9470  0.4221  4 O 1.51-1.60
P  0.7094  0.4470  0.5779  4 O 1.51-1.60
C  0.3334  0.5297  0.0147  3 O 1.26-1.34
C  0.6666  0.0297  0.9853  3 O 1.26-1.34
O  0.0951  0.5672  0.0169  1 C 1.31
O  0.1562  0.1138  0.3276  1 P 1.54
O  0.1775  0.8777  0.5567  1 P 1.51
O  0.2767  0.7881  0.2914  1 P 1.60
O  0.4169  0.4964  0.5225  1 P 1.58
O  0.4297  0.5435  0.8948  1 C 1.26
O  0.4748  0.4764  0.1515  1 C 1.34
O  0.5252  0.9764  0.8485  1 C 1.34
O  0.5703  0.0435  0.1052  1 C 1.26
O  0.5831  0.9964  0.4775  1 P 1.58
O  0.7233  0.2881  0.7086  1 P 1.60
O  0.8225  0.3777  0.4433  1 P 1.51
O  0.8438  0.6138  0.6724  1 P 1.54
O  0.9049  0.0672  0.9831  1 C 1.31

Results
* total magnetic moment: 0.000 μB/f.u.
* distance to the lowest polymorph of the same formula: 13 meV/atom
* volume: 326.66 Å³ per cell
* energy relative to the elements, uncorrected: -1.851 eV per atom
* E: -159.016 eV per cell